DFT (GGA-PBE) results for a relaxed structure of Ac3FeHg.

Summary:
Formation energy in eV/atom: -0.096
Density in g cm⁻³: 9.3
Total magnetic moment in μB per atom: 0.299
Energy relative to the lowest polymorph listed for this composition in meV per atom: 0
Space group: No. 2

```
data_Ac3FeHg
_chemical_formula_sum 'Ac6 Fe2 Hg2'
_cell_length_a 4.0019
_cell_length_b 9.1397
_cell_length_c 9.4277
_cell_angle_alpha 77.03
_cell_angle_beta 89.82
_cell_angle_gamma 89.81
_space_group_name_H-M_alt 'P 1'
_space_group_IT_number 1
loop_
_space_group_symop_operation_xyz
'x,y,z'
loop_
_atom_site_label
_atom_site_type_symbol
_atom_site_fract_x
_atom_site_fract_y
_atom_site_fract_z
Ac1 Ac 0.2492 0.0640 0.2629
Ac2 Ac 0.2507 0.3072 0.5563
Ac3 Ac 0.2507 0.6879 0.0804
Ac4 Ac 0.7493 0.3121 0.9196
Ac5 Ac 0.7493 0.6928 0.4437
Ac6 Ac 0.7508 0.9360 0.7371
Fe1 Fe 0.2499 0.0474 0.9390
Fe2 Fe 0.7501 0.9526 0.0610
Hg1 Hg 0.2491 0.6102 0.7396
Hg2 Hg 0.7509 0.3898 0.2604
```

=====

DFT (GGA-PBE) results for a relaxed structure of Ac4FeHg2.

Summary:
Formation energy in eV/atom: -0.122
Density in g cm⁻³: 9.3
Total magnetic moment in μB per atom: 0.000
Space group: No. 139

```
data_Ac4FeHg2
_chemical_formula_sum 'Ac4 Fe1 Hg2'
_cell_length_a 9.2301
_cell_length_b 9.2301
_cell_length_c 9.2301
_cell_angle_alpha 146.03
_cell_angle_beta 146.03
_cell_angle_gamma 48.80
_space_group_name_H-M_alt 'P 1'
_space_group_IT_number 1
loop_
_space_group_symop_operation_xyz
'x,y,z'
loop_
_atom_site_label
_atom_site_type_symbol
_atom_site_fract_x
_atom_site_fract_y
_atom_site_fract_z
Ac1 Ac 0.0000 0.5000 0.5000
Ac2 Ac 0.1752 0.1752 0.0000
Ac3 Ac 0.5000 0.0000 0.5000
Ac4 Ac 0.8248 0.8248 0.0000
Fe1 Fe 0.0000 0.0000 0.0000
Hg1 Hg 0.3682 0.3682 0.0000
Hg2 Hg 0.6318 0.6318 0.0000
```

=====

DFT (GGA-PBE) results for a relaxed structure of Ac3FeHg.

Summary:
Formation energy in eV/atom: -0.025
Density in g cm⁻³: 9.3
Total magnetic moment in μB per atom: 0.038
Energy relative to the lowest polymorph listed for this composition in meV per atom: 70
Space group: No. 221

```
data_Ac3FeHg
_chemical_formula_sum 'Ac3 Fe1 Hg1'
_cell_length_a 5.5066
_cell_length_b 5.5066
_cell_length_c 5.5066
_cell_angle_alpha 90.00
_cell_angle_beta 90.00
_cell_angle_gamma 90.00
_space_group_name_H-M_alt 'P 1'
_space_group_IT_number 1
loop_
_space_group_symop_operation_xyz
'x,y,z'
loop_
_atom_site_label
_atom_site_type_symbol
_atom_site_fract_x
_atom_site_fract_y
_atom_site_fract_z
Ac1 Ac 0.0000 0.0000 0.5000
Ac2 Ac 0.0000 0.5000 0.0000
Ac3 Ac 0.5000 0.0000 0.0000
Fe1 Fe 0.0000 0.0000 0.0000
Hg1 Hg 0.5000 0.5000 0.5000
```

=====

DFT (GGA-PBE) results for a relaxed structure of AcHoFe4.

Summary:
Formation energy in eV/atom: 0.103
Density in g cm⁻³: 9.9
Total magnetic moment in μB per atom: 1.312
Space group: No. 216

```
data_AcHoFe4
_chemical_formula_sum 'Ac1 Ho1 Fe4'
_cell_length_a 5.2712
_cell_length_b 5.2712
_cell_length_c 5.2712
_cell_angle_alpha 60.00
_cell_angle_beta 60.00
_cell_angle_gamma 60.00
_space_group_name_H-M_alt 'P 1'
_space_group_IT_number 1
loop_
_space_group_symop_operation_xyz
'x,y,z'
loop_
_atom_site_label
_atom_site_type_symbol
_atom_site_fract_x
_atom_site_fract_y
_atom_site_fract_z
Ac1 Ac 0.0000 0.0000 0.0000
Ho1 Ho 0.7500 0.7500 0.7500
Fe1 Fe 0.3759 0.3759 0.3759
Fe2 Fe 0.3759 0.3759 0.8722
Fe3 Fe 0.3759 0.8722 0.3759
Fe4 Fe 0.8722 0.3759 0.3759
```

=====

- The lowest formation energy belongs to which entry?
  Ac4FeHg2

=====

- What is the formula in the second record?
  Ac4FeHg2